No. 1
LiIr2: single point on PBEsol structure, meta-GGA SCAN.

Results
Magnetic moment ... 0.0 Bohr magnetons per cell
Energy relative to the elements ... -0.265 eV per atom
DOS at the Fermi energy ... 0.65 states/eV/atom
Space group ... Cm (8)

Cell and atoms, written as extended XYZ:
```
6
Lattice="2.667 0.000 0.000 -1.333 4.874 -0.009 0.000 -1.871 6.255" Properties=species:S:1:pos:R:3 pbc="T T T"
Ir 0.000 3.310 1.791
Li 0.000 -0.501 3.774
Ir 1.333 1.057 2.040
Ir 0.000 2.118 4.135
Li 1.333 0.285 5.959
Ir 1.333 4.675 -0.008
```

No. 2
Li3Ir: single point on PBEsol structure, meta-GGA SCAN.

Results
Magnetic moment ... 0.0 Bohr magnetons per cell
Energy relative to the elements ... -0.007 eV per atom
DOS at the Fermi energy ... 0.20 states/eV/atom
Space group ... Pm-3m (221)

Cell and atoms, written as extended XYZ:
```
4
Lattice="3.699 0.000 0.000 0.000 3.699 0.000 0.000 0.000 3.699" Properties=species:S:1:pos:R:3 pbc="T T T"
Ir 0.000 0.000 0.000
Li 1.850 0.000 1.850
Li 1.850 1.850 0.000
Li 0.000 1.850 1.850
```

No. 3
Li2Ir: single point on PBEsol structure, meta-GGA SCAN.

Results
Magnetic moment ... 0.1 Bohr magnetons per cell
Energy relative to the elements ... -0.204 eV per atom
DOS at the Fermi energy ... 0.66 states/eV/atom
Space group ... P-3m1 (164)

Cell and atoms, written as extended XYZ:
```
3
Lattice="2.675 0.000 0.000 -1.337 2.317 0.000 0.000 0.000 6.897" Properties=species:S:1:pos:R:3 pbc="T T T"
Ir 0.000 0.000 0.000
Li 0.000 1.544 2.101
Li 1.337 0.772 4.796
```

- Which value of DOS at the Fermi energy does entry 1 give?
  0.65 states/eV/atom

- Which formula does entry 1 have?
  LiIr2

Please write out number 1 again, unchanged.
LiIr2: single point on PBEsol structure, meta-GGA SCAN.

Results
Magnetic moment ... 0.0 Bohr magnetons per cell
Energy relative to the elements ... -0.265 eV per atom
DOS at the Fermi energy ... 0.65 states/eV/atom
Space group ... Cm (8)

Cell and atoms, written as extended XYZ:
```
6
Lattice="2.667 0.000 0.000 -1.333 4.874 -0.009 0.000 -1.871 6.255" Properties=species:S:1:pos:R:3 pbc="T T T"
Ir 0.000 3.310 1.791
Li 0.000 -0.501 3.774
Ir 1.333 1.057 2.040
Ir 0.000 2.118 4.135
Li 1.333 0.285 5.959
Ir 1.333 4.675 -0.008
```

Copy entry 1 word for word.
LiIr2: single point on PBEsol structure, meta-GGA SCAN.

Results
Magnetic moment ... 0.0 Bohr magnetons per cell
Energy relative to the elements ... -0.265 eV per atom
DOS at the Fermi energy ... 0.65 states/eV/atom
Space group ... Cm (8)

Cell and atoms, written as extended XYZ:
```
6
Lattice="2.667 0.000 0.000 -1.333 4.874 -0.009 0.000 -1.871 6.255" Properties=species:S:1:pos:R:3 pbc="T T T"
Ir 0.000 3.310 1.791
Li 0.000 -0.501 3.774
Ir 1.333 1.057 2.040
Ir 0.000 2.118 4.135
Li 1.333 0.285 5.959
Ir 1.333 4.675 -0.008
```